Density functional theory data (PBE) for crystalline LiPd12Au7 at its relaxed geometry.

**DFT total energy**: -87.62 eV/f.u.
**E_form**: -23 meV/atom
**ρ**: 13.140 g/cm3

Cell lengths 7.396, 7.396, 7.396 Å; angles 107.04, 107.04, 107.04 degrees
Sites, in units of the cell vectors:
Li: 0.000 0.000 0.000
Pd: 0.032 0.421 0.313
Pd: 0.231 0.366 0.661
Pd: 0.313 0.032 0.421
Pd: 0.339 0.769 0.634
Pd: 0.366 0.661 0.231
Pd: 0.421 0.313 0.032
Pd: 0.579 0.687 0.968
Pd: 0.634 0.339 0.769
Pd: 0.661 0.231 0.366
Pd: 0.687 0.968 0.579
Pd: 0.769 0.634 0.339
Pd: 0.968 0.579 0.687
Au: 0.024 0.319 0.905
Au: 0.095 0.976 0.681
Au: 0.319 0.905 0.024
Au: 0.500 0.500 0.500
Au: 0.681 0.095 0.976
Au: 0.905 0.024 0.319
Au: 0.976 0.681 0.095